Entry from OQMD via LeMat-Bulk: a geometry-optimized ErBeNi structure (PBE).

Summary:
Space-group type: No. 216
Uncorrected energy (eV/atom): -4.475

Structure (POSCAR):
```
ErBeNi
1.0
0.000 2.944 2.944
2.944 0.000 2.944
2.944 2.944 0.000
Er Be Ni
1 1 1
Direct
0.000 0.000 0.000 Er
0.250 0.250 0.250 Be
0.500 0.500 0.500 Ni
```

***

Entry from OQMD via LeMat-Bulk: a geometry-optimized BaTmIn structure (PBE).

Summary:
Space-group type: No. 216
Uncorrected energy (eV/atom): -2.863

Structure (POSCAR):
```
BaTmIn
1.0
0.000 3.788 3.788
3.788 0.000 3.788
3.788 3.788 0.000
Ba Tm In
1 1 1
Direct
0.000 0.000 0.000 Ba
0.250 0.250 0.250 Tm
0.500 0.500 0.500 In
```

***

Entry from OQMD via LeMat-Bulk: a geometry-optimized KErNi structure (PBE).

Summary:
Space-group type: No. 216
Uncorrected energy (eV/atom): -2.822

Structure (POSCAR):
```
KErNi
1.0
0.000 3.440 3.440
3.440 0.000 3.440
3.440 3.440 0.000
K Er Ni
1 1 1
Direct
0.000 0.000 0.000 K
0.250 0.250 0.250 Er
0.500 0.500 0.500 Ni
```

***

Entry from OQMD via LeMat-Bulk: a geometry-optimized ZrAlTc2 structure (PBE).

Summary:
Space-group type: No. 216
Uncorrected energy (eV/atom): -8.358

Structure (POSCAR):
```
ZrAlTc2
1.0
0.000 3.195 3.195
3.195 0.000 3.195
3.195 3.195 0.000
Zr Al Tc
1 1 2
Direct
0.000 0.000 0.000 Zr
0.750 0.750 0.750 Al
0.250 0.250 0.250 Tc
0.500 0.500 0.500 Tc
```

***

Entry from OQMD via LeMat-Bulk: a geometry-optimized CsHf2 structure (PBE).

Summary:
Space-group type: No. 227
Uncorrected energy (eV/atom): -5.532

Structure (POSCAR):
```
CsHf2
1.0
0.000 4.595 4.595
4.595 0.000 4.595
4.595 4.595 0.000
Cs Hf
2 4
Direct
0.125 0.125 0.125 Cs
0.875 0.875 0.875 Cs
0.000 0.500 0.500 Hf
0.500 0.000 0.500 Hf
0.500 0.500 0.000 Hf
0.500 0.500 0.500 Hf
```

***

Entry from OQMD via LeMat-Bulk: a geometry-optimized ErTmAg4 structure (PBE).

Summary:
Space-group type: No. 123
ΔE_f (meV per atom): -344

Structure (POSCAR):
```
ErTmAg4
1.0
3.688 0.000 0.000
0.000 3.688 0.000
0.000 0.000 9.190
Er Tm Ag
1 1 4
Direct
0.000 0.000 0.000 Er
0.500 0.500 0.500 Tm
0.000 0.000 0.331 Ag
0.000 0.000 0.669 Ag
0.500 0.500 0.170 Ag
0.500 0.500 0.830 Ag
```

***

Entry from OQMD via LeMat-Bulk: a geometry-optimized BaDyAuS3 structure (PBE).

Summary:
Space-group type: No. 12
Uncorrected energy (eV/atom): -5.224

Structure (POSCAR):
```
BaDyAuS3
1.0
8.891 -2.025 0.000
8.891 2.025 0.000
-1.623 0.000 8.308
Ba Dy Au S
2 2 2 6
Direct
0.133 0.133 0.079 Ba
0.867 0.867 0.921 Ba
0.163 0.163 0.585 Dy
0.837 0.837 0.415 Dy
0.461 0.461 0.283 Au
0.539 0.539 0.717 Au
0.000 0.000 0.500 S
0.318 0.318 0.187 S
0.323 0.323 0.627 S
0.500 0.500 0.000 S
0.677 0.677 0.373 S
0.682 0.682 0.813 S
```

***

Entry from OQMD via LeMat-Bulk: a geometry-optimized UCdRe structure (PBE).

Summary:
Space-group type: No. 216
ΔE_f (meV per atom): 1336

Structure (POSCAR):
```
UCdRe
1.0
0.000 3.293 3.293
3.293 0.000 3.293
3.293 3.293 0.000
U Cd Re
1 1 1
Direct
0.000 0.000 0.000 U
0.250 0.250 0.250 Cd
0.750 0.750 0.750 Re
```

***

The records above yield calculated density values of 7.65 6.43 5.41 8.00 8.39 10.20 6.58 12.47 g/cm3, respectively.